#1
Material: NdPuSi
Method: DFT, GGA-PBE
State: optimized geometry

Cell: 3.6908 3.6908 7.0782 Å, 90.00 90.00 120.00°
Closest atoms and distances in Å follow each position.
Space group P3m1 (No. 156)
Inequivalent atoms, fractional coordinates:
Nd  0.0000  0.0000  0.0000 x1  3 Si 2.96
Pu  0.3333  0.6667  0.5592 x1  3 Si 2.86
Si  0.6667  0.3333  0.2899 x1  3 Pu 2.86, 3 Nd 2.96

total moment = 6.08 μB per cell
V = 83.5 Å³/cell

***

#2
Material: NdPuSi
Method: DFT, GGA-PBE
State: optimized geometry

Cell: 7.0066 7.0066 7.0066 Å, 90.00 90.00 90.00°
Closest atoms and distances in Å follow each position.
Space group F-43m (No. 216)
Inequivalent atoms, fractional coordinates:
Nd  0.0000  0.0000  0.0000 x4  4 Si 3.03
Pu  0.0000  0.0000  0.5000 x4  4 Si 3.03
Si  0.2500  0.2500  0.7500 x4  4 Nd 3.03, 4 Pu 3.03

total moment = 26.79 μB per cell
V = 344.0 Å³/cell

***

Stability summary - winner: #2; margin: 13.5 kJ/mol of atoms.